NbFe2NiO6: relaxed, PBE+U.

Calculated values
Total energy   -6.94 eV per atom
Magnetic moment   7.001 μB/f.u.

a b c (Å): 5.1371 5.1380 5.5474
angles (deg): 116.73 90.83 119.65
Closest atoms and distances in Å follow each position.
Element x y z (fractional)
Nb1 0.0000 0.0000 0.0000  6 O 1.96-2.10
Fe1 0.3074 0.6121 0.9249  6 O 1.95-2.03
Fe2 0.7962 0.5908 0.3958  6 O 2.05-2.27
Ni1 0.5070 0.0139 0.5250  6 O 2.04-2.21
O1 0.1082 0.4834 0.1976  1 Nb 1.96, 2 Fe 2.01-2.11
O2 0.2159 0.1344 0.7267  1 Fe 1.97, 1 Ni 2.05, 1 Nb 2.06
O3 0.3805 0.0811 0.1987  1 Nb 1.98, 2 Fe 2.01-2.11, 1 Ni 2.14
O4 0.5846 0.7983 0.7261  1 Fe 1.95, 1 Ni 2.04, 1 Nb 2.06
O5 0.7116 0.8106 0.2015  1 Nb 2.00, 2 Fe 2.03-2.05, 1 Ni 2.21
O6 0.9198 0.5078 0.7189  2 Fe 1.97-2.17, 1 Ni 2.06, 1 Nb 2.10